Run 1
GaOF2: relaxed, GGA-PBE.

Cell: 3.799 3.799 3.799 Å, 60.00 60.00 60.00°
Last column: magnetic moment on the atom in μB.
Fractional positions:
Ga 0.500 0.500 0.500  -0.08
O 0.000 0.000 0.000  0.90
F 0.250 0.250 0.250  0.04
F 0.750 0.750 0.750  0.04


Run 2
GaOF2: relaxed, GGA-PBE.

Cell: 3.408 3.408 7.423 Å, 76.73 76.73 90.00°
Last column: magnetic moment on the atom in μB.
Fractional positions:
Ga 0.000 0.000 0.000  -0.03
Ga 0.750 0.250 0.500  -0.03
F 0.087 0.625 0.250  0.09
F 0.875 0.913 0.750  0.10
F 0.663 0.125 0.250  0.09
F 0.375 0.337 0.750  0.10
O 0.500 0.500 0.000  0.71
O 0.250 0.750 0.500  0.71


Run 3
GaOF2: relaxed, GGA-PBE.

Cell: 7.280 7.280 7.280 Å, 26.47 26.47 26.47°
Last column: magnetic moment on the atom in μB.
Fractional positions:
F 0.877 0.877 0.877  0.02
F 0.123 0.123 0.123  0.02
Ga 0.500 0.500 0.500  0.03
O 0.000 0.000 0.000  1.44


Stability order, top to bottom: run 2, run 3, run 1


Run 1
GaOsOF2: relaxed, GGA-PBE.

Cell: 4.291 4.291 3.543 Å, 90.00 90.00 90.00°
Last column: magnetic moment on the atom in μB.
Fractional positions:
F 0.500 0.000 0.000  0.06
F 0.000 0.500 0.000  0.06
Ga 0.000 0.000 0.000  -0.02
Os 0.500 0.500 0.500  3.04
O 0.000 0.000 0.500  0.09


Run 2
GaOsOF2: relaxed, GGA-PBE.

Cell: 4.469 4.469 3.732 Å, 90.00 90.00 90.00°
Last column: magnetic moment on the atom in μB.
Fractional positions:
O 0.000 0.000 0.500  0.00
Ga 0.500 0.500 0.500  0.00
F 0.000 0.500 0.000  0.00
F 0.500 0.000 0.000  0.00
Os 0.000 0.000 0.000  0.11


Stability order, top to bottom: run 2, run 1


Run 1
GaP2OF: relaxed, GGA-PBE.

Cell: 3.997 3.997 4.766 Å, 90.00 90.00 90.00°
Fractional positions:
O 0.000 0.000 0.500
F 0.000 0.000 0.000
P 0.000 0.500 0.000
P 0.500 0.000 0.000
Ga 0.500 0.500 0.500


Run 2
GaP2OF: relaxed, GGA-PBE.

Cell: 4.782 4.782 3.662 Å, 90.00 90.00 90.00°
Fractional positions:
P 0.500 0.000 0.000
P 0.000 0.500 0.000
O 0.000 0.000 0.500
Ga 0.000 0.000 0.000
F 0.500 0.500 0.500


Stability order, top to bottom: run 2, run 1


Run 1
GaPOF2: relaxed, GGA-PBE.

Cell: 3.971 3.971 3.926 Å, 90.00 90.00 90.00°
Last column: magnetic moment on the atom in μB.
Fractional positions:
F 0.000 0.500 0.000  0.08
F 0.500 0.000 0.000  0.08
P 0.500 0.500 0.500  0.89
O 0.000 0.000 0.500  -0.02
Ga 0.000 0.000 0.000  0.01


Run 2
GaPOF2: relaxed, GGA-PBE.

Cell: 4.431 4.431 3.552 Å, 90.00 90.00 90.00°
Fractional positions:
F 0.000 0.500 0.000
F 0.500 0.000 0.000
Ga 0.500 0.500 0.500
O 0.000 0.000 0.500
P 0.000 0.000 0.000


Stability order, top to bottom: run 2, run 1


Run 1
GaPtOF2: relaxed, GGA-PBE.

Cell: 3.935 3.935 3.949 Å, 90.00 90.00 90.00°
Last column: magnetic moment on the atom in μB.
Fractional positions:
F 0.500 0.000 0.000  0.01
F 0.000 0.500 0.000  0.01
O 0.000 0.000 0.500  0.14
Pt 0.500 0.500 0.500  0.86
Ga 0.000 0.000 0.000  -0.01


Run 2
GaPtOF2: relaxed, GGA-PBE.

Cell: 4.491 4.491 3.844 Å, 90.00 90.00 90.00°
Fractional positions:
F 0.000 0.500 0.000
F 0.500 0.000 0.000
Ga 0.500 0.500 0.500
Pt 0.000 0.000 0.000
O 0.000 0.000 0.500


Stability order, top to bottom: run 1, run 2


Run 1
GaSOF2: relaxed, GGA-PBE.

Cell: 4.585 4.585 3.469 Å, 90.00 90.00 90.00°
Fractional positions:
Ga 0.500 0.500 0.500
F 0.500 0.000 0.000
F 0.000 0.500 0.000
O 0.000 0.000 0.500
S 0.000 0.000 0.000


Run 2
GaSOF2: relaxed, GGA-PBE.

Cell: 4.092 4.092 3.766 Å, 90.00 90.00 90.00°
Last column: magnetic moment on the atom in μB.
Fractional positions:
F 0.000 0.500 0.000  0.11
F 0.500 0.000 0.000  0.11
O 0.000 0.000 0.500  0.36
S 0.500 0.500 0.500  1.54
Ga 0.000 0.000 0.000  -0.02


Stability order, top to bottom: run 2, run 1


Run 1
ScGaOF2: relaxed, GGA-PBE.

Cell: 4.219 4.219 4.062 Å, 90.00 90.00 90.00°
Fractional positions:
F 0.000 0.500 0.000
F 0.500 0.000 0.000
O 0.000 0.000 0.500
Sc 0.000 0.000 0.000
Ga 0.500 0.500 0.500


Run 2
ScGaOF2: relaxed, GGA-PBE.

Cell: 4.237 3.758 4.237 Å, 90.00 90.00 90.00°
Fractional positions:
F 0.000 0.000 0.500
F 0.500 0.000 0.000
O 0.000 0.500 0.000
Sc 0.500 0.500 0.500
Ga 0.000 0.000 0.000


Stability order, top to bottom: run 1, run 2


Run 1
GaSeOF2: relaxed, GGA-PBE.

Cell: 4.584 4.584 3.816 Å, 90.00 90.00 90.00°
Fractional positions:
F 0.000 0.500 0.000
F 0.500 0.000 0.000
Ga 0.500 0.500 0.500
O 0.000 0.000 0.500
Se 0.000 0.000 0.000


Run 2
GaSeOF2: relaxed, GGA-PBE.

Cell: 4.196 4.196 3.733 Å, 90.00 90.00 90.00°
Last column: magnetic moment on the atom in μB.
Fractional positions:
Se 0.500 0.500 0.500  1.54
F 0.000 0.500 0.000  0.13
F 0.500 0.000 0.000  0.13
O 0.000 0.000 0.500  0.25
Ga 0.000 0.000 0.000  -0.01


Stability order, top to bottom: run 2, run 1


Run 1
GaSnOF2: relaxed, GGA-PBE.

Cell: 4.547 4.547 4.157 Å, 90.00 90.00 90.00°
Fractional positions:
F 0.000 0.500 0.000
F 0.500 0.000 0.000
Sn 0.000 0.000 0.000
Ga 0.500 0.500 0.500
O 0.000 0.000 0.500


Run 2
GaSnOF2: relaxed, GGA-PBE.

Cell: 4.342 4.342 3.790 Å, 90.00 90.00 90.00°
Fractional positions:
F 0.000 0.500 0.000
F 0.500 0.000 0.000
Ga 0.000 0.000 0.000
O 0.000 0.000 0.500
Sn 0.500 0.500 0.500


Stability order, top to bottom: run 2, run 1


Run 1
TaGaOF2: relaxed, GGA-PBE.

Cell: 4.347 4.347 3.972 Å, 90.00 90.00 90.00°
Last column: magnetic moment on the atom in μB.
Fractional positions:
F 0.500 0.000 0.000  0.05
F 0.000 0.500 0.000  0.05
Ga 0.500 0.500 0.500  0.08
Ta 0.000 0.000 0.000  1.20
O 0.000 0.000 0.500  -0.04


Run 2
TaGaOF2: relaxed, GGA-PBE.

Cell: 4.458 4.458 3.472 Å, 90.00 90.00 90.00°
Last column: magnetic moment on the atom in μB.
Fractional positions:
Ta 0.500 0.500 0.500  1.95
F 0.500 0.000 0.000  0.02
F 0.000 0.500 0.000  0.02
Ga 0.000 0.000 0.000  0.01
O 0.000 0.000 0.500  0.07


Stability order, top to bottom: run 1, run 2


Run 1
GaTeOF2: relaxed, GGA-PBE.

Cell: 4.524 4.524 3.528 Å, 90.00 90.00 90.00°
Last column: magnetic moment on the atom in μB.
Fractional positions:
Te 0.500 0.500 0.500  0.55
F 0.500 0.000 0.000  0.05
F 0.000 0.500 0.000  0.05
Ga 0.000 0.000 0.000  -0.01
O 0.000 0.000 0.500  0.07


Run 2
GaTeOF2: relaxed, GGA-PBE.

Cell: 4.764 4.764 4.127 Å, 90.00 90.00 90.00°
Fractional positions:
Ga 0.500 0.500 0.500
F 0.000 0.500 0.000
F 0.500 0.000 0.000
O 0.000 0.000 0.500
Te 0.000 0.000 0.000


Stability order, top to bottom: run 1, run 2


Run 1
TiGaOF2: relaxed, GGA-PBE.

Cell: 4.155 4.155 3.772 Å, 90.00 90.00 90.00°
Last column: magnetic moment on the atom in μB.
Fractional positions:
Ti 0.500 0.500 0.500  2.10
F 0.000 0.500 0.000  0.02
F 0.500 0.000 0.000  0.02
Ga 0.000 0.000 0.000  0.01
O 0.000 0.000 0.500  0.01


Run 2
TiGaOF2: relaxed, GGA-PBE.

Cell: 4.199 4.199 3.857 Å, 90.00 90.00 90.00°
Last column: magnetic moment on the atom in μB.
Fractional positions:
F 0.500 0.000 0.000  -0.01
F 0.000 0.500 0.000  -0.01
Ga 0.500 0.500 0.500  -0.01
O 0.000 0.000 0.500  0.05
Ti 0.000 0.000 0.000  -0.91


Stability order, top to bottom: run 2, run 1


Run 1
TlGaOF2: relaxed, GGA-PBE.

Cell: 4.625 4.625 4.108 Å, 90.00 90.00 90.00°
Fractional positions:
F 0.000 0.500 0.000
F 0.500 0.000 0.000
O 0.000 0.000 0.500
Ga 0.500 0.500 0.500
Tl 0.000 0.000 0.000


Run 2
TlGaOF2: relaxed, GGA-PBE.

Cell: 4.377 4.377 3.636 Å, 90.00 90.00 90.00°
Fractional positions:
Tl 0.500 0.500 0.500
O 0.000 0.000 0.500
Ga 0.000 0.000 0.000
F 0.500 0.000 0.000
F 0.000 0.500 0.000


Stability order, top to bottom: run 2, run 1


Run 1
GaOs2F: relaxed, GGA-PBE.

Cell: 6.996 6.996 5.487 Å, 50.39 50.39 90.00°
Fractional positions:
Os 0.182 0.625 0.250
Os 0.375 0.432 0.750
Os 0.568 0.125 0.250
Os 0.875 0.818 0.750
Ga 0.000 0.000 0.000
Ga 0.750 0.250 0.500
F 0.250 0.750 0.500
F 0.500 0.500 0.000


Run 2
GaOs2F: relaxed, GGA-PBE.

Cell: 4.237 4.237 4.237 Å, 60.00 60.00 60.00°
Last column: magnetic moment on the atom in μB.
Fractional positions:
Ga 0.500 0.500 0.500  -0.01
F 0.000 0.000 0.000  0.07
Os 0.750 0.750 0.750  0.44
Os 0.250 0.250 0.250  0.44


Stability order, top to bottom: run 2, run 1